Entry 1:
## NbHg2Pd (meta-GGA SCAN)

Data for a PBEsol-optimized structure of NbHg2Pd. Values from VASP.

Quantum ESPRESSO input file:
```
&SYSTEM
  ibrav = 0, nat = 4, ntyp = 3
/
ATOMIC_SPECIES
Nb 92.91 Nb.upf
Pd 106.42 Pd.upf
Hg 200.59 Hg.upf
ATOMIC_POSITIONS angstrom
Nb 0.000 0.000 0.000
Pd -3.573 -2.987 -3.273
Hg -5.359 -4.480 -4.909
Hg -1.786 -1.493 -1.636
CELL_PARAMETERS angstrom
-3.083 0.257 -3.468
-0.327 -3.465 -3.080
-3.735 -2.765 0.002
```

Values from the calculation:
- SG: Fm-3m (225)

Entry 2:
## RbNbHg2Ru (meta-GGA SCAN)

Data for a PBEsol-optimized structure of RbNbHg2Ru. Values from VASP.

Quantum ESPRESSO input file:
```
&SYSTEM
  ibrav = 0, nat = 5, ntyp = 4
/
ATOMIC_SPECIES
Ru 101.07 Ru.upf
Rb 85.47 Rb.upf
Hg 200.59 Hg.upf
Nb 92.91 Nb.upf
ATOMIC_POSITIONS angstrom
Ru -1.996 0.401 -1.154
Rb 0.000 0.000 0.000
Hg -0.957 -2.436 0.809
Hg -1.063 1.162 2.242
Nb -4.017 -0.873 1.896
CELL_PARAMETERS angstrom
-3.992 0.802 -2.309
-1.915 -4.873 1.618
-2.126 2.325 4.484
```

Values from the calculation:
- SG: P4/mmm (123)

Entry 3:
## Nb2HgRh2 (meta-GGA SCAN)

Data for a PBEsol-optimized structure of Nb2HgRh2. Values from VASP.

Quantum ESPRESSO input file:
```
&SYSTEM
  ibrav = 0, nat = 5, ntyp = 3
/
ATOMIC_SPECIES
Nb 92.91 Nb.upf
Rh 102.91 Rh.upf
Hg 200.59 Hg.upf
ATOMIC_POSITIONS angstrom
Nb 2.181 0.000 2.484
Nb 0.000 2.181 2.484
Rh 2.181 2.181 1.221
Rh 0.000 0.000 3.747
Hg 0.000 0.000 0.000
CELL_PARAMETERS angstrom
4.362 0.000 0.000
0.000 4.362 0.000
-2.181 -2.181 4.968
```

Values from the calculation:
- SG: I4/mmm (139)
- Energy relative to the lowest polymorph listed for this composition: 0.212 eV per atom

Number 1: raw total energy -50.429 eV per atom, ΔE_f 13 kJ/mol of atoms. Number 2: raw total energy -42.786 eV per atom, ΔE_f 214 kJ/mol of atoms. Number 3: raw total energy -40.500 eV per atom, ΔE_f -10 kJ/mol of atoms.